Record 1
DFT (PBE) results for crystalline LaPrScCu at its relaxed geometry.

Output
Its formation energy is 0.1449 eV/atom.

Cell: 7.558 7.558 7.558 Å, 90.00 90.00 90.00°
Space group F-43m (No. 216)
Symmetry-distinct sites (fractional):
1 La 0.000 0.000 0.000
2 Pr 0.000 0.000 0.500
3 Sc 0.250 0.250 0.750
4 Cu 0.250 0.250 0.250

***

Record 2
DFT (PBE) results for crystalline Al5Hg3 at its relaxed geometry.

Output
Its formation energy is 0.2036 eV/atom.

Cell: 8.5828 8.5828 5.0636 Å, 90.00 90.00 120.00°
Space group P6_3/mcm (No. 193)
Symmetry-distinct sites (fractional):
1 Al 0.0000 0.1880 0.2500
2 Al 0.3333 0.6667 0.0000
3 Hg 0.0000 0.3881 0.7500

***

Record 3
DFT (PBE) results for crystalline Mo3Pt at its relaxed geometry.

Output
Its formation energy is -0.0474 eV/atom.

Cell: 3.958 3.958 8.018 Å, 90.00 90.00 90.00°
Space group I4/mmm (No. 139)
Symmetry-distinct sites (fractional):
1 Mo 0.000 0.000 0.000
2 Mo 0.000 0.500 0.250
3 Pt 0.000 0.000 0.500

***

Record 4
DFT (PBE) results for crystalline AcPrSmGa at its relaxed geometry.

Output
Its formation energy is 0.0067 eV/atom.

Cell: 7.917 7.917 7.917 Å, 90.00 90.00 90.00°
Space group F-43m (No. 216)
Symmetry-distinct sites (fractional):
1 Ac 0.000 0.000 0.000
2 Pr 0.250 0.250 0.250
3 Sm 0.250 0.250 0.750
4 Ga 0.000 0.000 0.500

***

Record 5
DFT (PBE) results for crystalline HoTm7Th3 at its relaxed geometry.

Output
Its formation energy is 0.1581 eV/atom.

Cell: 6.856 5.456 10.009 Å, 90.00 109.77 90.00°
Space group P2/m (No. 10)
Symmetry-distinct sites (fractional):
1 Ho 0.000 0.000 0.000
2 Tm 0.085 0.000 0.670
3 Tm 0.175 0.500 0.861
4 Tm 0.361 0.500 0.207
5 Tm 0.500 0.000 0.500
6 Th 0.223 0.500 0.501
7 Th 0.500 0.000 0.000

***

Record 6
DFT (PBE) results for crystalline Tb3ZrIr8 at its relaxed geometry.

Output
Its formation energy is -0.7623 eV/atom.

Cell: 5.3408 5.3408 26.1375 Å, 90.00 90.00 120.00°
Space group R3m (No. 160, hexagonal axes)
Symmetry-distinct sites (fractional):
1 Tb 0.0000 0.0000 0.0000
2 Tb 0.0000 0.0000 0.1254
3 Tb 0.0000 0.0000 0.5006
4 Zr 0.0000 0.0000 0.6251
5 Ir 0.0000 0.0000 0.3128
6 Ir 0.0000 0.0000 0.8127
7 Ir 0.0018 0.5009 0.5640
8 Ir 0.1674 0.3349 0.3948

***

Record 7
DFT (PBE) results for crystalline La6SiRh2I3 at its relaxed geometry.

Output
The formation energy without anion corrections is -0.98 eV/atom.

Cell: 7.507 12.975 8.479 Å, 90.00 107.21 90.00°
Space group C2/m (No. 12)
Symmetry-distinct sites (fractional):
1 La 0.219 0.000 0.190
2 La 0.234 0.328 0.191
3 Si 0.000 0.500 0.000
4 Rh 0.000 0.167 0.000
5 I 0.000 0.000 0.500
6 I 0.000 0.337 0.500

***

Record 8
DFT (PBE) results for crystalline Ba2LiW at its relaxed geometry.

Output
Its formation energy is 1.0158 eV/atom.

Cell: 12.411 3.270 6.181 Å, 90.00 104.66 90.00°
Space group Cm (No. 8)
Symmetry-distinct sites (fractional):
1 Ba 0.000 0.000 0.000
2 Ba 0.202 0.000 0.608
3 Li 0.284 0.500 0.189
4 W 0.449 0.000 0.467

***

| no. | raw total energy (eV per atom) |
| --- | --- |
| 1 | -4.89 |
| 2 | -2.25 |
| 3 | -9.68 |
| 4 | -4.15 |
| 5 | -5.13 |
| 6 | -8.54 |
| 7 | -5.51 |
| 8 | -3.66 |